VASP calculation (GGA-PBE) on a relaxed structure of PaPtRh.

electronic total energy: -8.146 eV per atom
energy relative to the lowest polymorph listed for this composition: 451 meV per atom

Cell: 4.580 4.580 4.580 Å, 60.00 60.00 60.00°
Fractional positions:
Pt  0.000  0.000  0.000
Pa  0.250  0.250  0.250
Rh  0.500  0.500  0.500


VASP calculation (GGA-PBE) on a relaxed structure of Tb2Zn4Pd5.

electronic total energy: -4.255 eV per atom

Cell: 5.655 5.410 8.340 Å, 79.79 70.18 58.49°
Fractional positions:
Pd  0.750  0.500  0.500
Zn  0.524  0.691  0.261
Zn  0.476  0.309  0.739
Tb  0.123  0.000  0.753
Pd  0.500  0.500  0.000
Tb  0.877  0.000  0.247
Zn  0.215  0.309  0.261
Pd  0.000  0.500  0.000
Pd  0.250  0.500  0.500
Zn  0.785  0.691  0.739
Pd  0.500  0.000  0.000


VASP calculation (GGA-PBE) on a relaxed structure of Bi3RuC.

electronic total energy: -4.674 eV per atom
energy relative to the lowest polymorph listed for this composition: 0 meV per atom

Cell: 4.841 4.841 4.841 Å, 90.00 90.00 90.00°
Fractional positions:
C  0.000  0.000  0.000
Bi  0.000  0.000  0.500
Bi  0.000  0.500  0.000
Bi  0.500  0.000  0.000
Ru  0.500  0.500  0.500